# PBE Pr2PPd6Pb, relaxed
data_Pr2PPd6Pb
_cell_length_a 5.6341
_cell_length_b 8.8383
_cell_length_c 8.5396
_cell_angle_alpha 90.00
_cell_angle_beta 90.00
_cell_angle_gamma 90.00
_symmetry_space_group_name_H-M 'P m m n'
_symmetry_Int_Tables_number 59
loop_
_symmetry_equiv_pos_as_xyz
'x,y,z'
'-x,-y,-z'
'-x+1/2,-y+1/2,z'
'x+1/2,y+1/2,-z'
'x+1/2,-y,-z'
'-x+1/2,y,z'
'-x,y+1/2,-z'
'x,-y+1/2,z'
loop_
_atom_site_label
_atom_site_type_symbol
_atom_site_fract_x
_atom_site_fract_y
_atom_site_fract_z
Pr1 Pr 0.2500 0.0020 0.2436
P1 P 0.2500 0.2500 0.7191
Pd1 Pd 0.0011 0.7500 0.5084
Pd2 Pd 0.0089 0.2500 0.9414
Pd3 Pd 0.2500 0.0043 0.6065
Pb1 Pb 0.2500 0.7500 0.7967
# Calculated volume, Å³ per cell: 425.2
# Energy of formation from the pure elements, eV per atom: -0.650